Record 1
Material: DyHo2Mg
Method: DFT, PBE-GGA
State: relaxed

Results
Its calculated total energy is -15.24 eV per formula unit. Its space-group type is P4/mmm, No. 123. The calculation puts the total magnetization at 0.00 μB per formula unit.

The structure in CIF format:
```
data_DyHo2Mg
_chemical_formula_sum 'Dy1 Ho2 Mg1'
_symmetry_space_group_name_H-M 'P 1'
_symmetry_Int_Tables_number 1
_cell_length_a 4.8830
_cell_length_b 4.8830
_cell_length_c 4.8928
_cell_angle_alpha 90.00
_cell_angle_beta 90.00
_cell_angle_gamma 90.00
loop_
_symmetry_equiv_pos_as_xyz
'x,y,z'
loop_
_atom_site_label
_atom_site_fract_x
_atom_site_fract_y
_atom_site_fract_z
_atom_site_occupancy
Dy1 0.0000 0.0000 0.0000 1
Ho1 0.0000 0.5000 0.5000 1
Ho2 0.5000 0.0000 0.5000 1
Mg1 0.5000 0.5000 0.0000 1
```

---

Record 2
Material: K2Pd3Au
Method: DFT, PBE-GGA
State: relaxed

Results
Its calculated total energy is -21.97 eV per formula unit. Its space-group type is C2/m, No. 12. The calculation puts the total magnetization at 0.00 μB per formula unit.

The structure in CIF format:
```
data_K2Pd3Au
_chemical_formula_sum 'K2 Pd3 Au1'
_symmetry_space_group_name_H-M 'P 1'
_symmetry_Int_Tables_number 1
_cell_length_a 5.6344
_cell_length_b 5.6344
_cell_length_c 5.6749
_cell_angle_alpha 119.81
_cell_angle_beta 119.81
_cell_angle_gamma 60.03
loop_
_symmetry_equiv_pos_as_xyz
'x,y,z'
loop_
_atom_site_label
_atom_site_fract_x
_atom_site_fract_y
_atom_site_fract_z
_atom_site_occupancy
K1 0.1246 0.1246 0.3739 1
K2 0.8754 0.8754 0.6261 1
Pd1 0.0000 0.5000 0.0000 1
Pd2 0.5000 0.0000 0.0000 1
Pd3 0.5000 0.5000 0.0000 1
Au1 0.5000 0.5000 0.5000 1
```

---

Record 3
Material: NiSn2HgPb
Method: DFT, PBE-GGA
State: relaxed

Results
Its calculated total energy is -17.47 eV per formula unit. Its space-group type is P4/mmm, No. 123. The calculation puts the total magnetization at 0.00 μB per formula unit.

The structure in CIF format:
```
data_NiSn2HgPb
_chemical_formula_sum 'Ni1 Sn2 Hg1 Pb1'
_symmetry_space_group_name_H-M 'P 1'
_symmetry_Int_Tables_number 1
_cell_length_a 4.9950
_cell_length_b 4.9950
_cell_length_c 5.3110
_cell_angle_alpha 90.00
_cell_angle_beta 90.00
_cell_angle_gamma 90.00
loop_
_symmetry_equiv_pos_as_xyz
'x,y,z'
loop_
_atom_site_label
_atom_site_fract_x
_atom_site_fract_y
_atom_site_fract_z
_atom_site_occupancy
Ni1 0.0000 0.0000 0.0000 1
Sn1 0.0000 0.5000 0.0000 1
Sn2 0.5000 0.0000 0.0000 1
Hg1 0.5000 0.5000 0.5000 1
Pb1 0.0000 0.0000 0.5000 1
```

---

Question: Among the records above, which one has the highest calculated total energy?
Answer: DyHo2Mg

---

What did the first record say?
Material: DyHo2Mg
Method: DFT, PBE-GGA
State: relaxed

Results
Its calculated total energy is -15.24 eV per formula unit. Its space-group type is P4/mmm, No. 123. The calculation puts the total magnetization at 0.00 μB per formula unit.

The structure in CIF format:
```
data_DyHo2Mg
_chemical_formula_sum 'Dy1 Ho2 Mg1'
_symmetry_space_group_name_H-M 'P 1'
_symmetry_Int_Tables_number 1
_cell_length_a 4.8830
_cell_length_b 4.8830
_cell_length_c 4.8928
_cell_angle_alpha 90.00
_cell_angle_beta 90.00
_cell_angle_gamma 90.00
loop_
_symmetry_equiv_pos_as_xyz
'x,y,z'
loop_
_atom_site_label
_atom_site_fract_x
_atom_site_fract_y
_atom_site_fract_z
_atom_site_occupancy
Dy1 0.0000 0.0000 0.0000 1
Ho1 0.0000 0.5000 0.5000 1
Ho2 0.5000 0.0000 0.5000 1
Mg1 0.5000 0.5000 0.0000 1
```

---

Question: Among the records above, which one has the lowest calculated total energy?
Answer: K2Pd3Au